Density functional theory data (PBE) for crystalline Rb2HfBiBr6 at its relaxed geometry. Values from VASP.

- Size of the total moment: 0.74 μB/f.u.
- DFT total energy: -36.8 eV for the cell shown

```
&SYSTEM
  ibrav = 0, nat = 10, ntyp = 4
/
ATOMIC_SPECIES
Hf 178.49 Hf.upf
Br 79.90 Br.upf
Rb 85.47 Rb.upf
Bi 208.98 Bi.upf
ATOMIC_POSITIONS crystal
Hf 0.5000 0.5000 0.0000
Br 0.2688 0.2688 0.0000
Rb 0.7500 0.2500 0.5000
Rb 0.2500 0.7500 0.5000
Br 0.7312 0.2688 0.0000
Br 0.7312 0.7312 0.0000
Br 0.2688 0.7312 0.0000
Bi 0.0000 0.0000 0.0000
Br 0.7021 0.7021 0.5957
Br 0.2979 0.2979 0.4043
CELL_PARAMETERS angstrom
8.0611 0.0000 0.0000
0.0000 8.0611 0.0000
4.0305 4.0305 6.5563
```